No. 1
DFT (PBE) results for crystalline AcY2Tl2Ag2 at its relaxed geometry.

Calculated values
Energy of formation   -0.2343 eV per atom
Total DFT energy (no corrections)   -4.16 eV per atom
SG   R-3m (166)
DOS at the Fermi energy   6.48 states/eV/cell

```
data_AcY2Tl2Ag2
_cell_length_a 9.578
_cell_length_b 9.578
_cell_length_c 9.578
_cell_angle_alpha 30.12
_cell_angle_beta 30.12
_cell_angle_gamma 30.12
_symmetry_space_group_name_H-M 'P 1'
_symmetry_Int_Tables_number 1
loop_
_symmetry_equiv_pos_as_xyz
'x,y,z'
loop_
_atom_site_label
_atom_site_type_symbol
_atom_site_fract_x
_atom_site_fract_y
_atom_site_fract_z
Ac1 Ac 0.000 0.000 0.000
Y1 Y 0.135 0.135 0.135
Y2 Y 0.865 0.865 0.865
Tl1 Tl 0.257 0.257 0.257
Tl2 Tl 0.743 0.743 0.743
Ag1 Ag 0.440 0.440 0.440
Ag2 Ag 0.560 0.560 0.560
```

***

No. 2
DFT (PBE) results for crystalline NaPrSnIr at its relaxed geometry.

Calculated values
Energy of formation   -0.3375 eV per atom
Total DFT energy (no corrections)   -5.08 eV per atom
SG   F-43m (216)
DOS at the Fermi energy   5.39 states/eV/cell

```
data_NaPrSnIr
_cell_length_a 4.967
_cell_length_b 4.967
_cell_length_c 4.967
_cell_angle_alpha 60.00
_cell_angle_beta 60.00
_cell_angle_gamma 60.00
_symmetry_space_group_name_H-M 'P 1'
_symmetry_Int_Tables_number 1
loop_
_symmetry_equiv_pos_as_xyz
'x,y,z'
loop_
_atom_site_label
_atom_site_type_symbol
_atom_site_fract_x
_atom_site_fract_y
_atom_site_fract_z
Na1 Na 0.000 0.000 0.000
Pr1 Pr 0.250 0.250 0.250
Sn1 Sn 0.750 0.750 0.750
Ir1 Ir 0.500 0.500 0.500
```

***

No. 3
DFT (PBE) results for crystalline Ca2ZnInHg4 at its relaxed geometry.

Calculated values
Energy of formation   -0.3359 eV per atom
Total DFT energy (no corrections)   -1.49 eV per atom
SG   R-3m (166)
DOS at the Fermi energy   4.55 states/eV/cell

```
data_Ca2ZnInHg4
_cell_length_a 8.896
_cell_length_b 8.896
_cell_length_c 8.896
_cell_angle_alpha 33.76
_cell_angle_beta 33.76
_cell_angle_gamma 33.76
_symmetry_space_group_name_H-M 'P 1'
_symmetry_Int_Tables_number 1
loop_
_symmetry_equiv_pos_as_xyz
'x,y,z'
loop_
_atom_site_label
_atom_site_type_symbol
_atom_site_fract_x
_atom_site_fract_y
_atom_site_fract_z
Ca1 Ca 0.249 0.249 0.249
Ca2 Ca 0.751 0.751 0.751
Zn1 Zn 0.000 0.000 0.000
In1 In 0.500 0.500 0.500
Hg1 Hg 0.119 0.119 0.119
Hg2 Hg 0.372 0.372 0.372
Hg3 Hg 0.628 0.628 0.628
Hg4 Hg 0.881 0.881 0.881
```

***

No. 4
DFT (PBE) results for crystalline MnCu3Se4 at its relaxed geometry.

Calculated values
Total DFT energy (no corrections)   -4.65 eV per atom
SG   I-42m (121)
Formation energy (no corrections)   -0.23 eV/atom
DOS at the Fermi energy   5.79 states/eV/cell

```
data_MnCu3Se4
_cell_length_a 6.761
_cell_length_b 6.761
_cell_length_c 6.761
_cell_angle_alpha 131.57
_cell_angle_beta 131.57
_cell_angle_gamma 70.91
_symmetry_space_group_name_H-M 'P 1'
_symmetry_Int_Tables_number 1
loop_
_symmetry_equiv_pos_as_xyz
'x,y,z'
loop_
_atom_site_label
_atom_site_type_symbol
_atom_site_fract_x
_atom_site_fract_y
_atom_site_fract_z
Mn1 Mn 0.000 0.000 0.000
Cu1 Cu 0.250 0.750 0.500
Cu2 Cu 0.500 0.500 0.000
Cu3 Cu 0.750 0.250 0.500
Se1 Se 0.122 0.122 0.492
Se2 Se 0.370 0.878 0.000
Se3 Se 0.630 0.630 0.508
Se4 Se 0.878 0.370 0.000
```

***

No. 5
DFT (PBE) results for crystalline Nd3Sm5Tl2 at its relaxed geometry.

Calculated values
Energy of formation   0.0811 eV per atom
Total DFT energy (no corrections)   -4.18 eV per atom
SG   Ibam (72)
DOS at the Fermi energy   27.84 states/eV/cell

```
data_Nd3Sm5Tl2
_cell_length_a 10.696
_cell_length_b 10.696
_cell_length_c 10.696
_cell_angle_alpha 103.87
_cell_angle_beta 87.34
_cell_angle_gamma 143.77
_symmetry_space_group_name_H-M 'P 1'
_symmetry_Int_Tables_number 1
loop_
_symmetry_equiv_pos_as_xyz
'x,y,z'
loop_
_atom_site_label
_atom_site_type_symbol
_atom_site_fract_x
_atom_site_fract_y
_atom_site_fract_z
Nd1 Nd 0.240 0.119 0.360
Nd2 Nd 0.250 0.250 0.000
Nd3 Nd 0.260 0.619 0.879
Nd4 Nd 0.740 0.381 0.121
Nd5 Nd 0.750 0.750 0.000
Nd6 Nd 0.760 0.881 0.640
Sm1 Sm 0.163 0.381 0.543
Sm2 Sm 0.250 0.503 0.253
Sm3 Sm 0.250 0.750 0.500
Sm4 Sm 0.250 0.997 0.747
Sm5 Sm 0.337 0.881 0.218
Sm6 Sm 0.663 0.119 0.782
Sm7 Sm 0.750 0.003 0.253
Sm8 Sm 0.750 0.250 0.500
Sm9 Sm 0.750 0.497 0.747
Sm10 Sm 0.837 0.619 0.457
Tl1 Tl 0.145 0.868 0.013
Tl2 Tl 0.355 0.368 0.723
Tl3 Tl 0.645 0.632 0.277
Tl4 Tl 0.855 0.132 0.987
```

***

No. 6
DFT (PBE) results for crystalline SmHoEr at its relaxed geometry.

Calculated values
Energy of formation   0.0720 eV per atom
Total DFT energy (no corrections)   -4.55 eV per atom
SG   P-6m2 (187)
DOS at the Fermi energy   4.42 states/eV/cell
ΔE to the lowest computed polymorph   0.062 eV/atom

```
data_SmHoEr
_cell_length_a 5.633
_cell_length_b 5.633
_cell_length_c 3.449
_cell_angle_alpha 90.00
_cell_angle_beta 90.00
_cell_angle_gamma 120.00
_symmetry_space_group_name_H-M 'P 1'
_symmetry_Int_Tables_number 1
loop_
_symmetry_equiv_pos_as_xyz
'x,y,z'
loop_
_atom_site_label
_atom_site_type_symbol
_atom_site_fract_x
_atom_site_fract_y
_atom_site_fract_z
Sm1 Sm 0.000 0.000 0.000
Ho1 Ho 0.667 0.333 0.500
Er1 Er 0.333 0.667 0.500
```

***

No. 7
DFT (PBE) results for crystalline NiGeC2 at its relaxed geometry.

Calculated values
Energy of formation   0.9450 eV per atom
Total DFT energy (no corrections)   -6.27 eV per atom
SG   I-42d (122)
DOS at the Fermi energy   4.49 states/eV/cell

```
data_NiGeC2
_cell_length_a 5.496
_cell_length_b 5.496
_cell_length_c 5.496
_cell_angle_alpha 131.58
_cell_angle_beta 131.58
_cell_angle_gamma 70.89
_symmetry_space_group_name_H-M 'P 1'
_symmetry_Int_Tables_number 1
loop_
_symmetry_equiv_pos_as_xyz
'x,y,z'
loop_
_atom_site_label
_atom_site_type_symbol
_atom_site_fract_x
_atom_site_fract_y
_atom_site_fract_z
Ni1 Ni 0.000 0.000 0.000
Ni2 Ni 0.750 0.250 0.500
Ge1 Ge 0.250 0.750 0.500
Ge2 Ge 0.500 0.500 0.000
C1 C 0.109 0.625 0.984
C2 C 0.375 0.359 0.484
C3 C 0.641 0.125 0.016
C4 C 0.875 0.891 0.516
```

***

No. 8
DFT (PBE) results for crystalline ReIBr5 at its relaxed geometry.

Calculated values
Total DFT energy (no corrections)   -3.22 eV per atom
SG   C2/c (15)
Formation energy (no corrections)   -0.02 eV/atom
DOS at the Fermi energy   11.82 states/eV/cell

```
data_ReIBr5
_cell_length_a 9.015
_cell_length_b 9.015
_cell_length_c 10.386
_cell_angle_alpha 122.80
_cell_angle_beta 122.80
_cell_angle_gamma 63.24
_symmetry_space_group_name_H-M 'P 1'
_symmetry_Int_Tables_number 1
loop_
_symmetry_equiv_pos_as_xyz
'x,y,z'
loop_
_atom_site_label
_atom_site_type_symbol
_atom_site_fract_x
_atom_site_fract_y
_atom_site_fract_z
Re1 Re 0.000 0.000 0.000
Re2 Re 0.000 0.000 0.500
I1 I 0.331 0.669 0.750
I2 I 0.669 0.331 0.250
Br1 Br 0.047 0.953 0.250
Br2 Br 0.205 0.208 0.195
Br3 Br 0.208 0.205 0.695
Br4 Br 0.270 0.728 0.492
Br5 Br 0.272 0.730 0.008
Br6 Br 0.728 0.270 0.992
Br7 Br 0.730 0.272 0.508
Br8 Br 0.792 0.795 0.305
Br9 Br 0.795 0.792 0.805
Br10 Br 0.953 0.047 0.750
```